First-principles (PBE) data for a relaxed structure of DySb2Au, as listed in Alexandria via LeMat-Bulk.

Cell: 4.230 4.765 4.765 Å, 90.00 90.00 90.00°
Fractional coordinates of all 4 atoms:
Sb1 0.000 0.000 0.500
Sb2 0.000 0.500 0.000
Au1 0.500 0.000 0.000
Dy1 0.500 0.500 0.500

Density   10.42 Mg/m³
Formation energy (no corrections)   -0.546 eV/atom
Total magnetic moment   0.00 μB per formula unit
Space group   No. 123
V   24.012 A^3/atom
DOS at the Fermi energy   1.9 states/eV per cell
Raw total energy   -4.577 eV/atom

=====

First-principles (PBE) data for a relaxed structure of Dy5Sb2Au, as listed in Alexandria via LeMat-Bulk.

Cell: 5.854 6.683 14.106 Å, 90.00 90.00 115.97°
Fractional coordinates of all 16 atoms:
Dy1 0.937 0.873 0.893
Dy2 0.937 0.873 0.607
Dy3 0.379 0.758 0.433
Dy4 0.379 0.758 0.067
Dy5 0.647 0.294 0.250
Dy6 0.353 0.706 0.750
Dy7 0.621 0.242 0.567
Dy8 0.621 0.242 0.933
Dy9 0.063 0.127 0.107
Dy10 0.063 0.127 0.393
Sb1 0.807 0.614 0.412
Sb2 0.807 0.614 0.088
Sb3 0.193 0.386 0.588
Sb4 0.193 0.386 0.912
Au1 0.761 0.522 0.750
Au2 0.239 0.478 0.250

Density   8.39 Mg/m³
Formation energy (no corrections)   -0.475 eV/atom
Total magnetic moment   0.00 μB per formula unit
Space group   No. 63
V   31.005 A^3/atom
DOS at the Fermi energy   17.9 states/eV per cell
Raw total energy   -4.792 eV/atom

=====

First-principles (PBE) data for a relaxed structure of Dy2Sb4Au, as listed in Alexandria via LeMat-Bulk.

Cell: 4.417 4.417 9.577 Å, 90.00 90.00 90.00°
Fractional coordinates of all 7 atoms:
Dy1 0.500 0.000 0.756
Dy2 0.000 0.500 0.244
Sb1 0.500 0.000 0.168
Sb2 0.000 0.500 0.832
Sb3 0.500 0.500 0.500
Sb4 0.000 0.000 0.500
Au1 0.500 0.500 0.000

Density   8.97 Mg/m³
Formation energy (no corrections)   -0.691 eV/atom
Total magnetic moment   0.00 μB per formula unit
Space group   No. 115
V   26.693 A^3/atom
DOS at the Fermi energy   2.8 states/eV per cell
Raw total energy   -4.829 eV/atom

=====

First-principles (PBE) data for a relaxed structure of Dy5SbAu2, as listed in Alexandria via LeMat-Bulk.

Cell: 8.673 8.673 8.673 Å, 124.52 124.52 82.34°
Fractional coordinates of all 16 atoms:
Dy1 0.500 0.500 0.000
Dy2 0.000 0.000 0.000
Dy3 0.512 0.012 0.811
Dy4 0.201 0.701 0.189
Dy5 0.012 0.201 0.500
Dy6 0.701 0.512 0.500
Dy7 0.488 0.988 0.189
Dy8 0.799 0.299 0.811
Dy9 0.988 0.799 0.500
Dy10 0.299 0.488 0.500
Sb1 0.250 0.250 0.000
Sb2 0.750 0.750 0.000
Au1 0.137 0.637 0.774
Au2 0.863 0.363 0.226
Au3 0.637 0.863 0.500
Au4 0.363 0.137 0.500

Density   10.36 Mg/m³
Formation energy (no corrections)   -0.760 eV/atom
Total magnetic moment   0.00 μB per formula unit
Space group   No. 140
V   26.605 A^3/atom
DOS at the Fermi energy   14.1 states/eV per cell
Raw total energy   -4.971 eV/atom

=====

First-principles (PBE) data for a relaxed structure of Dy2SbAu, as listed in Alexandria via LeMat-Bulk.

Cell: 4.516 4.097 11.902 Å, 99.91 90.00 90.00°
Fractional coordinates of all 8 atoms:
Dy1 0.750 0.677 0.355
Dy2 0.250 0.323 0.645
Dy3 0.750 0.939 0.878
Dy4 0.250 0.061 0.122
Sb1 0.250 0.190 0.380
Sb2 0.750 0.810 0.620
Au1 0.250 0.458 0.915
Au2 0.750 0.542 0.085

Density   9.86 Mg/m³
Formation energy (no corrections)   -0.910 eV/atom
Total magnetic moment   0.00 μB per formula unit
Space group   No. 63
V   27.115 A^3/atom
DOS at the Fermi energy   6.7 states/eV per cell
Raw total energy   -5.061 eV/atom

=====

First-principles (PBE) data for a relaxed structure of DySbAu, as listed in Alexandria via LeMat-Bulk.

Cell: 4.058 4.058 5.354 Å, 112.27 112.27 90.00°
Fractional coordinates of all 3 atoms:
Sb1 0.958 0.958 0.916
Au1 0.279 0.279 0.558
Dy1 0.613 0.613 0.226

Density   10.73 Mg/m³
Formation energy (no corrections)   -0.604 eV/atom
Total magnetic moment   0.00 μB per formula unit
Space group   No. 107
V   24.818 A^3/atom
DOS at the Fermi energy   2.5 states/eV per cell
Raw total energy   -4.604 eV/atom